1.
First-principles (PBE-GGA) data for an optimized crystal structure of Pr3ZrGe4, as listed in OQMD via LeMat-Bulk.

It has space group Pm (No. 6), with a = 7.053 Å, b = 3.920 Å, c = 8.018 Å, α = 90.00°, β = 97.92° and γ = 90.00°. Symmetry generates all atoms from Pr at (0.000, 0.000, 0.000), Pr at (0.075, 0.500, 0.514), Pr at (0.565, 0.500, 0.483), Zr at (0.500, 0.000, 0.080), Ge at (0.266, 0.500, 0.188), Ge at (0.383, 0.000, 0.742), Ge at (0.647, 0.500, 0.864) and Ge at (0.811, 0.000, 0.321).

2.
First-principles (PBE-GGA) data for an optimized crystal structure of Ge2Pt7, as listed in OQMD via LeMat-Bulk.

It has space group P-3m1 (No. 164), with a = 2.8296 Å, b = 2.8296 Å, c = 33.2160 Å, α = 90.00°, β = 90.00° and γ = 120.00°. Symmetry generates all atoms from Ge at (0.3333, 0.6667, 0.2271), Pt at (0.0000, 0.0000, 0.2912), Pt at (0.0000, 0.0000, 0.5000), Pt at (0.3333, 0.6667, 0.4317) and Pt at (0.3333, 0.6667, 0.6374).

3.
First-principles (PBE-GGA) data for an optimized crystal structure of Ge2Pt3, as listed in OQMD via LeMat-Bulk.

It has space group P-3m1 (No. 164), with a = 4.2207 Å, b = 4.2207 Å, c = 5.5356 Å, α = 90.00°, β = 90.00° and γ = 120.00°. Symmetry generates all atoms from Ge at (0.3333, 0.6667, 0.2177), Pt at (0.0000, 0.0000, 0.0000) and Pt at (0.3333, 0.6667, 0.6776).

Its offset from the most stable computed form is 194 meV/atom.

4.
First-principles (PBE-GGA) data for an optimized crystal structure of GePt17, as listed in OQMD via LeMat-Bulk.

It has space group P-3m1 (No. 164), with a = 5.5382 Å, b = 5.5382 Å, c = 34.1312 Å, α = 90.00°, β = 90.00° and γ = 120.00°. Symmetry generates all atoms from Ge at (0.3333, 0.6667, 0.2265), Pt at (0.0000, 0.0000, 0.2948), Pt at (0.0000, 0.0000, 0.5000), Pt at (0.0000, 0.5000, 0.5000), Pt at (0.0007, 0.5003, 0.2944), Pt at (0.1659, 0.3318, 0.7739), Pt at (0.1665, 0.3330, 0.5684), Pt at (0.1671, 0.3341, 0.3631), Pt at (0.3333, 0.6667, 0.4319) and Pt at (0.3333, 0.6667, 0.6361).

Its offset from the most stable computed form is 0 meV/atom.

5.
First-principles (PBE-GGA) data for an optimized crystal structure of GePt2, as listed in OQMD via LeMat-Bulk.

It has space group Fd-3m (No. 227, origin choice 2), with a = 10.837 Å, b = 10.837 Å, c = 10.837 Å, α = 90.00°, β = 90.00° and γ = 90.00°. Symmetry generates all atoms from Ge at (0.125, 0.125, 0.125) and Pt at (0.000, 0.000, 0.000).

6.
First-principles (PBE-GGA) data for an optimized crystal structure of GePt2, as listed in OQMD via LeMat-Bulk.

It has space group Fd-3m (No. 227, origin choice 2), with a = 7.536 Å, b = 7.536 Å, c = 7.536 Å, α = 90.00°, β = 90.00° and γ = 90.00°. Symmetry generates all atoms from Ge at (0.125, 0.125, 0.125) and Pt at (0.000, 0.000, 0.500).

no.,E (eV/atom),total magnetic moment (μB/cell)
1,-5.59,0.02
2,-5.73,0.13
3,-5.72,0.00
4,-5.92,0.06
5,-4.16,0.15
6,-5.52,0.00